1.
ZrSc2In | Alexandria via LeMat-Bulk | PBE | optimized geometry; total magnetization = 0.0 Bohr magnetons per cell; D(E_F) = 4.75 states/eV/f.u.; formation energy = -0.173 eV per atom; E = -6.161 eV per atom; SG = Cm, No. 8
1.0
5.392 -1.630 0.000
5.392 1.630 0.000
-1.105 0.000 5.285
Zr Sc In
1 2 1
Direct
0.000 0.000 0.000
0.243 0.243 0.776
0.480 0.480 0.499
0.740 0.740 0.263


2.
ZrSbAs2 | Alexandria via LeMat-Bulk | PBE | optimized geometry; total magnetization = 0.0 Bohr magnetons per cell; D(E_F) = 4.27 states/eV/f.u.; formation energy from raw total energies = -18 meV/atom; E = -5.510 eV per atom; SG = I-42d, No. 122
1.0
-3.164 3.164 6.166
3.164 -3.164 6.166
3.164 3.164 -6.166
Zr Sb As
2 2 4
Direct
0.000 0.000 0.000
0.750 0.250 0.500
0.250 0.750 0.500
0.500 0.500 0.000
0.103 0.625 0.978
0.375 0.353 0.478
0.647 0.125 0.022
0.875 0.897 0.522


3.
Ca2InPb2 | Alexandria via LeMat-Bulk | PBE | optimized geometry; total magnetization = 0.0 Bohr magnetons per cell; D(E_F) = 2.22 states/eV/f.u.; formation energy = -0.396 eV per atom; polymorph energy (0 for the lowest one) = 14.4 meV/atom; E = -3.228 eV per atom; SG = C2/m, No. 12
1.0
6.129 -2.451 0.000
6.129 2.451 0.000
-4.667 0.000 10.346
Ca In Pb
4 2 4
Direct
0.006 0.006 0.178
0.171 0.171 0.603
0.829 0.829 0.397
0.994 0.994 0.822
0.309 0.309 0.168
0.691 0.691 0.832
0.353 0.353 0.918
0.445 0.445 0.605
0.555 0.555 0.395
0.647 0.647 0.082


4.
CaHo2PaSb4 | Alexandria via LeMat-Bulk | PBE | optimized geometry; total magnetization = 0.5 Bohr magnetons per cell; D(E_F) = 5.09 states/eV/f.u.; formation energy from raw total energies = -914 meV/atom; E = -5.557 eV per atom; SG = P2/m, No. 10
1.0
7.608 0.000 0.000
0.000 4.398 0.000
-2.492 0.000 7.200
Ca Ho Pa Sb
1 2 1 4
Direct
0.000 0.000 0.000
0.500 0.000 0.500
0.500 0.500 0.000
0.000 0.500 0.500
0.252 0.000 0.747
0.253 0.500 0.258
0.747 0.500 0.742
0.748 0.000 0.253


5.
CaSbF5 | Alexandria via LeMat-Bulk | PBE | optimized geometry; total magnetization = 0.0 Bohr magnetons per cell; D(E_F) = 0.00 states/eV/f.u.; polymorph energy (0 for the lowest one) = 0.0 meV/atom; formation energy from raw total energies = -3036 meV/atom; E = -5.248 eV per atom; SG = P2_1/c, No. 14
1.0
6.153 0.000 0.000
0.000 10.638 0.000
-4.653 0.000 7.204
Ca Sb F
4 4 20
Direct
0.025 0.018 0.289
0.025 0.482 0.789
0.975 0.518 0.211
0.975 0.982 0.711
0.431 0.734 0.659
0.431 0.766 0.159
0.569 0.234 0.841
0.569 0.266 0.341
0.134 0.610 0.042
0.134 0.890 0.542
0.184 0.588 0.643
0.184 0.912 0.143
0.209 0.696 0.385
0.209 0.804 0.885
0.341 0.097 0.852
0.341 0.403 0.352
0.381 0.144 0.433
0.381 0.356 0.933
0.619 0.644 0.067
0.619 0.856 0.567
0.659 0.597 0.648
0.659 0.903 0.148
0.791 0.196 0.115
0.791 0.304 0.615
0.816 0.088 0.857
0.816 0.412 0.357
0.866 0.110 0.458
0.866 0.390 0.958


6.
Li2POs | Alexandria via LeMat-Bulk | PBE | optimized geometry; total magnetization = 0.0 Bohr magnetons per cell; D(E_F) = 1.06 states/eV/f.u.; formation energy = -0.103 eV per atom; E = -5.220 eV per atom; SG = P2/m, No. 10
1.0
2.807 0.000 0.000
0.000 4.317 0.000
-1.273 0.000 4.368
Li P Os
2 1 1
Direct
0.102 0.000 0.252
0.898 0.000 0.748
0.500 0.500 0.500
0.500 0.500 0.000


7.
SrNiSn2 | Alexandria via LeMat-Bulk | PBE | optimized geometry; total magnetization = 0.0 Bohr magnetons per cell; D(E_F) = 1.91 states/eV/f.u.; formation energy = -0.128 eV per atom; E = -3.995 eV per atom; SG = I-42d, No. 122
1.0
-2.721 2.721 8.396
2.721 -2.721 8.396
2.721 2.721 -8.396
Sr Ni Sn
2 2 4
Direct
0.000 0.000 0.000
0.750 0.250 0.500
0.250 0.750 0.500
0.500 0.500 0.000
0.300 0.625 0.175
0.375 0.550 0.675
0.450 0.125 0.825
0.875 0.700 0.325


8.
Sm2UPN5 | Alexandria via LeMat-Bulk | PBE | optimized geometry; total magnetization = 4.0 Bohr magnetons per cell; D(E_F) = 4.15 states/eV/f.u.; formation energy from raw total energies = -759 meV/atom; E = -8.288 eV per atom; SG = P4/mbm, No. 127
1.0
6.399 0.000 0.000
0.000 6.399 0.000
0.000 0.000 5.725
Sm U P N
4 2 2 10
Direct
0.173 0.327 0.000
0.327 0.827 0.000
0.673 0.173 0.000
0.827 0.673 0.000
0.000 0.000 0.500
0.500 0.500 0.500
0.000 0.500 0.500
0.500 0.000 0.500
0.000 0.000 0.000
0.138 0.638 0.292
0.138 0.638 0.708
0.362 0.138 0.292
0.362 0.138 0.708
0.500 0.500 0.000
0.638 0.862 0.292
0.638 0.862 0.708
0.862 0.362 0.292
0.862 0.362 0.708


9.
ReCN3 | Alexandria via LeMat-Bulk | PBE | optimized geometry; total magnetization = 0.0 Bohr magnetons per cell; D(E_F) = 4.97 states/eV/f.u.; formation energy from raw total energies = 2200 meV/atom; E = -7.130 eV per atom; SG = Pm-3m, No. 221
1.0
3.860 0.000 0.000
0.000 3.860 0.000
0.000 0.000 3.860
Re C N
1 1 3
Direct
0.000 0.000 0.000
0.500 0.500 0.500
0.000 0.000 0.500
0.000 0.500 0.000
0.500 0.000 0.000


10.
Dy2Y3TaN6 | Alexandria via LeMat-Bulk | PBE | optimized geometry; total magnetization = 0.0 Bohr magnetons per cell; D(E_F) = 1.87 states/eV/f.u.; formation energy from raw total energies = -1606 meV/atom; E = -9.140 eV per atom; SG = C2/m, No. 12
1.0
2.943 -5.094 0.000
2.943 5.094 0.000
-1.963 0.000 5.537
Dy Y Ta N
2 3 1 6
Direct
0.167 0.833 0.000
0.833 0.167 0.000
0.000 0.000 0.500
0.334 0.666 0.500
0.666 0.334 0.500
0.500 0.500 0.000
0.112 0.422 0.767
0.268 0.268 0.236
0.422 0.112 0.767
0.578 0.888 0.233
0.732 0.732 0.764
0.888 0.578 0.233


11.
TbGa4Ni2 | Alexandria via LeMat-Bulk | PBE | optimized geometry; total magnetization = 0.0 Bohr magnetons per cell; D(E_F) = 3.01 states/eV/f.u.; formation energy = -0.434 eV per atom; polymorph energy (0 for the lowest one) = 102.9 meV/atom; E = -4.477 eV per atom; SG = P4_2/mnm, No. 136
1.0
7.622 0.000 0.000
0.000 7.622 0.000
0.000 0.000 3.951
Tb Ga Ni
2 8 4
Direct
0.000 0.000 0.000
0.500 0.500 0.500
0.079 0.322 0.500
0.178 0.579 0.000
0.322 0.079 0.500
0.421 0.822 0.000
0.579 0.178 0.000
0.678 0.921 0.500
0.822 0.421 0.000
0.921 0.678 0.500
0.221 0.779 0.500
0.279 0.279 0.000
0.721 0.721 0.000
0.779 0.221 0.500


12.
NdZn5AgPd2 | Alexandria via LeMat-Bulk | PBE | optimized geometry; total magnetization = 0.0 Bohr magnetons per cell; D(E_F) = 5.02 states/eV/f.u.; formation energy = -0.185 eV per atom; E = -2.894 eV per atom; SG = P4/mmm, No. 123
1.0
4.844 0.000 0.000
0.000 4.844 0.000
0.000 0.000 7.427
Nd Zn Ag Pd
1 5 1 2
Direct
0.000 0.000 0.000
0.000 0.500 0.297
0.000 0.500 0.703
0.500 0.000 0.297
0.500 0.000 0.703
0.500 0.500 0.000
0.000 0.000 0.500
0.500 0.500 0.321
0.500 0.500 0.679


13.
LiPr6Tm | Alexandria via LeMat-Bulk | PBE | optimized geometry; total magnetization = 0.0 Bohr magnetons per cell; D(E_F) = 12.58 states/eV/f.u.; formation energy = 0.080 eV per atom; E = -4.303 eV per atom; SG = I4/mmm, No. 139
1.0
-2.626 2.626 9.786
2.626 -2.626 9.786
2.626 2.626 -9.786
Li Pr Tm
1 6 1
Direct
0.000 0.000 0.000
0.118 0.618 0.500
0.251 0.251 0.000
0.382 0.882 0.500
0.618 0.118 0.500
0.749 0.749 0.000
0.882 0.382 0.500
0.500 0.500 0.000


14.
BPt2F | Alexandria via LeMat-Bulk | PBE | optimized geometry; total magnetization = 0.0 Bohr magnetons per cell; D(E_F) = 2.23 states/eV/f.u.; polymorph energy (0 for the lowest one) = 0.0 meV/atom; formation energy from raw total energies = -203 meV/atom; E = -5.361 eV per atom; SG = I-42d, No. 122
1.0
-3.141 3.141 2.667
3.141 -3.141 2.667
3.141 3.141 -2.667
B Pt F
2 4 2
Direct
0.000 0.000 0.000
0.750 0.250 0.500
0.058 0.125 0.433
0.375 0.942 0.067
0.692 0.625 0.567
0.875 0.308 0.933
0.250 0.750 0.500
0.500 0.500 0.000


15.
Dy2SeCl2 | Alexandria via LeMat-Bulk | PBE | optimized geometry; total magnetization = 0.0 Bohr magnetons per cell; D(E_F) = 2.60 states/eV/f.u.; formation energy from raw total energies = -1889 meV/atom; E = -5.165 eV per atom; SG = C2/m, No. 12
1.0
3.464 -2.000 0.000
3.464 2.000 0.000
-0.105 0.000 10.135
Dy Se Cl
2 1 2
Direct
0.169 0.169 0.154
0.831 0.831 0.846
0.500 0.500 0.000
0.162 0.162 0.686
0.838 0.838 0.314


16.
BaC3 | Alexandria via LeMat-Bulk | PBE | optimized geometry; total magnetization = 0.0 Bohr magnetons per cell; D(E_F) = 1.55 states/eV/f.u.; formation energy = 1.478 eV per atom; polymorph energy (0 for the lowest one) = 1212.4 meV/atom; E = -5.921 eV per atom; SG = Cmmm, No. 65
1.0
2.950 -3.042 0.000
2.950 3.042 0.000
0.000 0.000 3.629
Ba C
1 3
Direct
0.000 0.000 0.000
0.389 0.611 0.500
0.500 0.500 0.000
0.611 0.389 0.500


17.
Gd2TeRh | Alexandria via LeMat-Bulk | PBE | optimized geometry; total magnetization = 14.4 Bohr magnetons per cell; D(E_F) = 2.11 states/eV/f.u.; polymorph energy (0 for the lowest one) = 0.0 meV/atom; formation energy from raw total energies = -1044 meV/atom; E = -10.708 eV per atom; SG = R-3m, No. 166
1.0
2.073 1.197 7.329
-2.073 1.197 7.329
0.000 -2.394 7.329
Gd Te Rh
2 1 1
Direct
0.237 0.237 0.237
0.763 0.763 0.763
0.000 0.000 0.000
0.500 0.500 0.500


18.
BaSr2Tl8 | Alexandria via LeMat-Bulk | PBE | optimized geometry; total magnetization = 0.0 Bohr magnetons per cell; D(E_F) = 6.28 states/eV/f.u.; formation energy = -0.262 eV per atom; E = -2.463 eV per atom; SG = C2/m, No. 12
1.0
4.299 -8.788 0.000
4.299 8.788 0.000
-3.644 0.000 4.907
Ba Sr Tl
1 2 8
Direct
0.000 0.000 0.000
0.315 0.685 0.500
0.685 0.315 0.500
0.098 0.363 0.766
0.208 0.792 0.000
0.363 0.098 0.766
0.458 0.458 0.714
0.542 0.542 0.286
0.637 0.902 0.234
0.792 0.208 0.000
0.902 0.637 0.234


19.
Pm4Tm3ThS8 | Alexandria via LeMat-Bulk | PBE | optimized geometry; total magnetization = 0.0 Bohr magnetons per cell; D(E_F) = 8.49 states/eV/f.u.; formation energy from raw total energies = -1962 meV/atom; E = -6.515 eV per atom; SG = R-3m, No. 166
1.0
3.958 2.285 6.508
-3.958 2.285 6.508
0.000 -4.570 6.508
Pm Tm Th S
4 3 1 8
Direct
0.000 0.000 0.000
0.000 0.500 0.500
0.500 0.000 0.500
0.500 0.500 0.000
0.000 0.000 0.500
0.000 0.500 0.000
0.500 0.000 0.000
0.500 0.500 0.500
0.237 0.750 0.750
0.244 0.244 0.244
0.250 0.250 0.763
0.250 0.763 0.250
0.750 0.237 0.750
0.750 0.750 0.237
0.756 0.756 0.756
0.763 0.250 0.250


20.
LiNi2Ru | Alexandria via LeMat-Bulk | PBE | optimized geometry; total magnetization = 1.3 Bohr magnetons per cell; D(E_F) = 5.60 states/eV/f.u.; formation energy = 0.205 eV per atom; polymorph energy (0 for the lowest one) = 171.2 meV/atom; E = -5.483 eV per atom; SG = F-43m, No. 216
1.0
0.000 2.856 2.856
2.856 0.000 2.856
2.856 2.856 0.000
Li Ni Ru
1 2 1
Direct
0.000 0.000 0.000
0.250 0.250 0.250
0.500 0.500 0.500
0.750 0.750 0.750